[1]
Computed, not measured: a geometry-optimized SmTmAgSn structure at the GGA-PBE level of DFT.

```
SmTmAgSn
1.0
5.254 0.000 0.000
2.627 4.550 0.000
2.627 1.517 4.290
Ag Tm Sn Sm
1 1 1 1
direct
0.750 0.750 0.750 Ag
0.000 0.000 0.000 Tm
0.250 0.250 0.250 Sn
0.500 0.500 0.500 Sm
```

Calculated formation energy: -0.50 eV/atom

---

[2]
Computed, not measured: a geometry-optimized SmTm2Ag2Sn2 structure at the GGA-PBE level of DFT.

```
SmTm2Ag2Sn2
1.0
4.859 0.000 0.000
2.430 4.208 0.000
2.430 1.403 8.573
Sm Tm Ag Sn
1 2 2 2
direct
0.000 0.000 0.000 Sm
0.134 0.134 0.597 Tm
0.866 0.866 0.403 Tm
0.560 0.560 0.320 Ag
0.440 0.440 0.680 Ag
0.737 0.737 0.790 Sn
0.263 0.263 0.210 Sn
```

Calculated formation energy: -0.43 eV/atom

---

[3]
Computed, not measured: a geometry-optimized Sm2YAg2Sn2 structure at the GGA-PBE level of DFT.

```
Sm2YAg2Sn2
1.0
-1.421 -1.394 4.428
3.308 -1.202 3.344
0.914 7.516 5.321
Sm Y Ag Sn
2 1 2 2
direct
0.134 0.134 0.598 Sm
0.866 0.866 0.402 Sm
0.000 0.000 0.000 Y
0.574 0.574 0.278 Ag
0.426 0.426 0.722 Ag
0.732 0.732 0.803 Sn
0.268 0.268 0.197 Sn
```

Calculated formation energy: -0.39 eV/atom

---

[4]
Computed, not measured: a geometry-optimized SmYAgSn structure at the GGA-PBE level of DFT.

```
SmYAgSn
1.0
-2.487 2.510 3.936
0.348 -1.840 4.947
2.791 2.661 3.621
Y Ag Sn Sm
1 1 1 1
direct
0.750 0.750 0.750 Y
0.500 0.500 0.500 Ag
0.000 0.000 0.000 Sn
0.250 0.250 0.250 Sm
```

Calculated formation energy: -0.53 eV/atom

---

[5]
Computed, not measured: a geometry-optimized SrSm5Ag6 structure at the GGA-PBE level of DFT.

```
SrSm5Ag6
1.0
5.022 -0.030 1.674
0.040 7.466 0.013
-0.008 -0.015 8.396
Sr Ag Sm
1 6 5
direct
0.000 0.000 0.000 Sr
0.827 0.743 0.346 Ag
0.827 0.257 0.346 Ag
0.500 0.265 0.000 Ag
0.500 0.735 0.000 Ag
0.173 0.743 0.654 Ag
0.173 0.257 0.654 Ag
0.665 0.500 0.670 Sm
0.333 0.000 0.334 Sm
0.000 0.500 0.000 Sm
0.667 0.000 0.666 Sm
0.335 0.500 0.330 Sm
```

Calculated formation energy: -0.27 eV/atom

---

[6]
Computed, not measured: a geometry-optimized SrSm2Ag structure at the GGA-PBE level of DFT.

```
SrSm2Ag
1.0
3.770 0.000 0.000
0.000 3.770 0.000
0.000 0.000 9.653
Sr Ag Sm
1 1 2
direct
0.500 0.500 0.500 Sr
0.500 0.500 0.000 Ag
0.000 0.000 0.818 Sm
0.000 0.000 0.182 Sm
```

Calculated formation energy: 0.00 eV/atom
Relative energy among the computed polymorphs: 0.000 eV per atom

---

[7]
Computed, not measured: a geometry-optimized SrSm2Ag6 structure at the GGA-PBE level of DFT.

```
SrSm2Ag6
1.0
-1.108 2.623 2.268
-1.860 4.857 -6.526
-5.763 -5.152 3.143
Sr Sm Ag
1 2 6
direct
0.000 0.000 0.000 Sr
0.000 0.333 0.667 Sm
0.000 0.667 0.333 Sm
0.500 0.336 0.336 Ag
0.500 0.664 0.664 Ag
0.500 0.000 0.664 Ag
0.500 0.664 0.000 Ag
0.500 0.336 0.000 Ag
0.500 0.000 0.336 Ag
```

Calculated formation energy: -0.25 eV/atom

---

[8]
Computed, not measured: a geometry-optimized SrSmAg4 structure at the GGA-PBE level of DFT.

```
SrSmAg4
1.0
5.854 0.000 0.000
2.927 5.070 0.000
2.927 1.690 4.780
Sr Ag Sm
1 4 1
direct
0.000 0.000 0.000 Sr
0.625 0.625 0.125 Ag
0.625 0.125 0.625 Ag
0.625 0.625 0.625 Ag
0.125 0.625 0.625 Ag
0.250 0.250 0.250 Sm
```

Calculated formation energy: -0.15 eV/atom
Relative energy among the computed polymorphs: 0.097 eV per atom